# ZrS2N2 PBE optimized geometry
data_ZrS2N2
_chemical_formula_sum 'Zr1 S2 N2'
_symmetry_space_group_name_H-M 'P 4/m m m'
_symmetry_Int_Tables_number 123
_symmetry_space_group_name_Hall '-P 4 2'
_cell_length_a 3.8160
_cell_length_b 3.8160
_cell_length_c 4.2377
_cell_angle_alpha 90.00
_cell_angle_beta 90.00
_cell_angle_gamma 90.00
loop_
_atom_site_label
_atom_site_type_symbol
_atom_site_fract_x
_atom_site_fract_y
_atom_site_fract_z
Zr1 Zr 0.0000 0.0000 0.0000
S1 S 0.0000 0.5000 0.5000
N1 N 0.5000 0.5000 0.0000
N2 N 0.5000 0.5000 0.5000
# Formation energy from raw total energies (eV per formula unit): 3.7
# Offset from the most stable computed form (eV/atom): 0.043
# Magnetization (Bohr magnetons per cell): 0.00
# Volume (Å³/atom): 12.342
# N(E_F) (states/eV/atom): 0.2396